[1]
A relaxed structure of DyAl4Pd8, computed with PBE-GGA.

abc: 6.7828 6.7828 6.7828
angles: 98.99 98.99 133.43
Element x y z (fractional)
Dy: 0.0000 0.0000 0.0000
Al: 0.0000 0.0000 0.5000
Al: 0.0000 0.5000 0.0000
Al: 0.5000 0.0000 0.0000
Al: 0.5000 0.5000 0.5000
Pd: 0.0000 0.3354 0.3354
Pd: 0.0000 0.6646 0.6646
Pd: 0.2775 0.5000 0.7775
Pd: 0.3354 0.0000 0.3354
Pd: 0.5000 0.2775 0.7775
Pd: 0.5000 0.7225 0.2225
Pd: 0.6646 0.0000 0.6646
Pd: 0.7225 0.5000 0.2225

Results
energy of formation from the pure elements	-0.816	eV per atom
space-group type	I4/mmm
VASP energy	-71.73	eV/cell


[2]
A relaxed structure of Dy8Al2Pd, computed with PBE-GGA.

abc: 9.5561 9.5561 6.6312
angles: 101.53 101.53 30.43
Element x y z (fractional)
Dy: 0.0220 0.0220 0.2728
Dy: 0.2100 0.2100 0.8068
Dy: 0.3486 0.3486 0.5234
Dy: 0.4067 0.4067 0.0375
Dy: 0.5933 0.5933 0.9625
Dy: 0.6514 0.6514 0.4766
Dy: 0.7900 0.7900 0.1932
Dy: 0.9780 0.9780 0.7272
Al: 0.1890 0.1890 0.2557
Al: 0.8110 0.8110 0.7443
Pd: 0.5000 0.5000 0.5000

Results
energy of formation from the pure elements	-0.279	eV per atom
space-group type	C2/m
VASP energy	-52.56	eV/cell


[3]
A relaxed structure of Dy2Al3Pd2, computed with PBE-GGA.

abc: 5.4859 5.4859 6.8348
angles: 112.32 112.32 46.74
Element x y z (fractional)
Dy: 0.1486 0.1486 0.2782
Dy: 0.8514 0.8514 0.7218
Al: 0.3796 0.3796 0.0614
Al: 0.5000 0.5000 0.5000
Al: 0.6204 0.6204 0.9386
Pd: 0.1363 0.1363 0.7210
Pd: 0.8637 0.8637 0.2790

Results
energy of formation from the pure elements	-0.791	eV per atom
space-group type	C2/m
VASP energy	-36.36	eV/cell